Arrangement a

Computed, not measured: a geometry-optimized Sr2GaAg2 structure at the PBE-GGA level of DFT.

Summary:
Space-group type: C2/c, No. 15
Calculated volume: 273 Å³/cell

abc: 6.142 6.086 8.678
angles: 101.28 90.00 120.31
Element x y z (fractional)
Sr 0.519 0.304 0.153
Sr 0.216 0.696 0.347
Sr 0.481 0.696 0.847
Sr 0.784 0.304 0.653
Ga 0.852 0.000 0.250
Ga 0.148 0.000 0.750
Ag 0.744 0.746 0.502
Ag 0.998 0.254 0.998
Ag 0.256 0.254 0.498
Ag 0.002 0.746 0.002

***

Arrangement b

Computed, not measured: a geometry-optimized Sr2GaAg2 structure at the PBE-GGA level of DFT.

Summary:
Space-group type: I4/mmm, No. 139
Calculated volume: 152 Å³/cell

abc: 6.200 6.200 5.897
angles: 58.29 58.29 90.00
Element x y z (fractional)
Sr 0.750 0.250 0.500
Sr 0.250 0.750 0.500
Ga 0.000 0.000 0.000
Ag 0.332 0.332 0.337
Ag 0.668 0.668 0.663

***

Question: which arrangement is favored energetically? Ranking from most to least stable: arrangement a, arrangement b.

***

Arrangement a

Computed, not measured: a geometry-optimized SrGa3Ag3 structure at the PBE-GGA level of DFT.

Summary:
Space-group type: Pm-3n, No. 223
Calculated volume: 369 Å³/cell

abc: 7.170 7.170 7.170
angles: 90.00 90.00 90.00
Element x y z (fractional)
Sr 0.500 0.500 0.500
Sr 0.000 0.000 0.000
Ga 0.000 0.250 0.500
Ga 0.000 0.750 0.500
Ga 0.500 0.000 0.750
Ga 0.750 0.500 0.000
Ga 0.500 0.000 0.250
Ga 0.250 0.500 0.000
Ag 0.250 0.000 0.500
Ag 0.000 0.500 0.250
Ag 0.500 0.750 0.000
Ag 0.750 0.000 0.500
Ag 0.000 0.500 0.750
Ag 0.500 0.250 0.000

***

Arrangement b

Computed, not measured: a geometry-optimized SrGa3Ag3 structure at the PBE-GGA level of DFT.

Summary:
Space-group type: P2_1/m, No. 11
Calculated volume: 301 Å³/cell

abc: 4.517 9.214 9.985
angles: 133.66 90.00 90.00
Element x y z (fractional)
Sr 0.750 0.277 0.602
Sr 0.250 0.723 0.398
Ga 0.750 0.796 0.199
Ga 0.750 0.425 0.037
Ga 0.750 0.647 0.601
Ga 0.250 0.204 0.801
Ga 0.250 0.575 0.963
Ga 0.250 0.353 0.399
Ag 0.750 0.891 0.990
Ag 0.750 0.336 0.237
Ag 0.750 0.022 0.771
Ag 0.250 0.109 0.010
Ag 0.250 0.664 0.763
Ag 0.250 0.978 0.229

***

Question: which arrangement is favored energetically? Ranking from most to least stable: arrangement b, arrangement a.

***

Arrangement a

Computed, not measured: a geometry-optimized Sr2Ga2Ag3 structure at the PBE-GGA level of DFT.

Summary:
Space-group type: Cmcm, No. 63
Calculated volume: 347 Å³/cell

abc: 4.579 7.481 10.394
angles: 90.00 102.73 90.00
Element x y z (fractional)
Sr 0.160 0.250 0.320
Sr 0.840 0.750 0.680
Sr 0.944 0.250 0.888
Sr 0.056 0.750 0.112
Ga 0.691 0.936 0.382
Ga 0.309 0.064 0.618
Ga 0.309 0.436 0.618
Ga 0.691 0.564 0.382
Ag 0.222 0.750 0.444
Ag 0.778 0.250 0.556
Ag 0.564 0.438 0.129
Ag 0.436 0.562 0.871
Ag 0.436 0.938 0.871
Ag 0.564 0.062 0.129

***

Arrangement b

Computed, not measured: a geometry-optimized Sr2Ga2Ag3 structure at the PBE-GGA level of DFT.

Summary:
Space-group type: Cmmm, No. 65
Calculated volume: 170 Å³/cell

abc: 3.823 4.401 10.341
angles: 102.29 90.00 90.00
Element x y z (fractional)
Sr 0.000 0.850 0.700
Sr 0.000 0.150 0.300
Ga 0.500 0.715 0.430
Ga 0.500 0.285 0.570
Ag 0.500 0.568 0.136
Ag 0.500 0.432 0.864
Ag 0.000 0.000 0.000

***

Question: which arrangement is favored energetically? Ranking from most to least stable: arrangement a, arrangement b.

***

Arrangement a

Computed, not measured: a geometry-optimized SrGa2Ag4 structure at the PBE-GGA level of DFT.

Summary:
Space-group type: Cmmm, No. 65
Calculated volume: 148 Å³/cell

abc: 4.581 4.576 7.423
angles: 107.95 90.00 90.00
Element x y z (fractional)
Sr 0.000 0.000 0.000
Ga 0.500 0.591 0.182
Ga 0.500 0.409 0.818
Ag 0.500 0.814 0.628
Ag 0.000 0.685 0.370
Ag 0.500 0.186 0.372
Ag 0.000 0.315 0.630

***

Arrangement b

Computed, not measured: a geometry-optimized SrGa2Ag4 structure at the PBE-GGA level of DFT.

Summary:
Space-group type: P4_2/mnm, No. 136
Calculated volume: 290 Å³/cell

abc: 4.263 8.244 8.244
angles: 90.00 90.00 90.00
Element x y z (fractional)
Sr 0.500 0.000 0.000
Sr 0.000 0.500 0.500
Ag 0.000 0.086 0.339
Ag 0.000 0.914 0.661
Ag 0.500 0.161 0.586
Ag 0.500 0.839 0.414
Ag 0.500 0.414 0.839
Ag 0.500 0.586 0.161
Ag 0.000 0.339 0.086
Ag 0.000 0.661 0.914
Ga 0.000 0.216 0.784
Ga 0.000 0.784 0.216
Ga 0.500 0.716 0.716
Ga 0.500 0.284 0.284

***

Question: which arrangement is favored energetically? Ranking from most to least stable: arrangement a, arrangement b.